(1)
Material: Dy4Sn2H
Method: DFT, PBE
State: optimized geometry

Output
SG: P2_1/m, No. 11
Energy above the lowest structure with this stoichiometry in meV per atom: 0

Structure (POSCAR):
```
Dy4Sn2H
1.0
-3.9953 -4.5437 1.6874
4.9879 -4.0640 0.8669
2.5549 4.7052 7.3581
Sn H Dy
4 2 8
Direct
0.3119 0.2500 0.9689
0.8338 0.7500 0.5979
0.1662 0.2500 0.4021
0.6881 0.7500 0.0311
0.2859 0.7500 0.2023
0.7141 0.2500 0.7977
0.5359 0.9989 0.2930
0.8692 0.2500 0.0587
0.0685 0.7500 0.3517
0.4641 0.4989 0.7070
0.5359 0.5011 0.2930
0.4641 0.0011 0.7070
0.9315 0.2500 0.6483
0.1308 0.7500 0.9413
```

(2)
Material: Dy6Sn3H
Method: DFT, PBE
State: optimized geometry

Output
SG: Cmc2_1, No. 36

Structure (POSCAR):
```
Dy6Sn3H
1.0
-2.9676 -3.9618 -3.7470
8.1281 -2.7548 -3.5247
-0.7295 -6.0611 6.9863
Sn Dy H
6 12 2
Direct
0.8646 0.5343 0.4657
0.3646 0.4657 0.5343
0.5164 0.9942 0.7662
0.5164 0.2338 0.0058
0.0164 0.0058 0.2338
0.0164 0.7662 0.9942
0.1498 0.3292 0.2299
0.7214 0.8880 0.4648
0.0172 0.0935 0.9065
0.1498 0.7701 0.6708
0.6498 0.6708 0.7701
0.2443 0.6986 0.3014
0.2214 0.4648 0.8880
0.5172 0.9065 0.0935
0.7214 0.5352 0.1120
0.2214 0.1120 0.5352
0.6498 0.2299 0.3292
0.7443 0.3014 0.6986
0.0842 0.2523 0.7477
0.5842 0.7477 0.2523
```

(3)
Material: SrDy2H
Method: DFT, PBE
State: optimized geometry

Output
SG: R-3m, No. 166

Structure (POSCAR):
```
SrDy2H
1.0
-0.8828 -2.5204 -2.4710
1.8724 -3.1150 -0.1703
-5.8713 -5.9544 5.4923
Dy Sr H
2 1 1
Direct
0.8782 0.8782 0.3653
0.1218 0.1218 0.6347
0.0000 0.0000 0.0000
0.5000 0.5000 0.5000
```

(4)
Material: Dy2TaH
Method: DFT, PBE
State: optimized geometry

Output
SG: R-3m, No. 166

Structure (POSCAR):
```
Dy2TaH
1.0
-1.6335 0.0853 2.7158
-0.4949 -2.6698 1.6367
6.8764 0.5032 5.9707
Dy Ta H
2 1 1
Direct
0.8891 0.8891 0.3328
0.1109 0.1109 0.6672
0.0000 0.0000 0.0000
0.5000 0.5000 0.5000
```

(5)
Material: Dy3Ta5H12
Method: DFT, PBE
State: optimized geometry

Output
SG: Ia-3d, No. 230

Structure (POSCAR):
```
Dy3Ta5H12
1.0
10.2224 0.0000 0.0000
-3.4075 9.6377 0.0000
-3.4075 -4.8189 8.3465
H Ta Dy
48 20 12
Direct
0.9205 0.0840 0.6339
0.5840 0.6339 0.4205
0.7866 0.4501 0.3661
0.2134 0.5499 0.6339
0.7134 0.5795 0.1635
0.1339 0.4205 0.0840
0.0499 0.6339 0.7134
0.5795 0.8661 0.4160
0.2866 0.8661 0.9501
0.5840 0.9501 0.6635
0.6635 0.2134 0.5795
0.0795 0.1635 0.2134
0.6339 0.0499 0.2134
0.9501 0.5840 0.1635
0.0840 0.1635 0.4501
0.4205 0.1339 0.5840
0.4501 0.7866 0.8661
0.0499 0.4160 0.8365
0.9205 0.8365 0.7866
0.8661 0.5795 0.9160
0.3661 0.9501 0.7866
0.6635 0.4501 0.5840
0.9501 0.3661 0.2866
0.4501 0.6635 0.0840
0.7866 0.3365 0.9205
0.0840 0.9205 0.1339
0.4205 0.2866 0.3365
0.5499 0.3365 0.9160
0.2134 0.6635 0.0795
0.9160 0.8365 0.5499
0.4160 0.0499 0.3365
0.6339 0.5840 0.9205
0.5499 0.2134 0.1339
0.9160 0.0795 0.8661
0.8365 0.9160 0.0499
0.3661 0.4160 0.0795
0.1339 0.7134 0.5499
0.1635 0.0795 0.7134
0.1635 0.0840 0.9501
0.3365 0.7866 0.4205
0.0795 0.9160 0.3661
0.7134 0.1339 0.0499
0.4160 0.3661 0.5795
0.3365 0.5499 0.4160
0.8365 0.9205 0.2866
0.8661 0.2866 0.4501
0.5795 0.7134 0.6635
0.2866 0.4205 0.8365
0.3750 0.2500 0.1250
0.1250 0.3750 0.2500
0.8750 0.2500 0.6250
0.5000 0.0000 0.0000
0.7500 0.6250 0.3750
0.5000 0.0000 0.5000
0.3750 0.1250 0.7500
0.2500 0.8750 0.1250
0.5000 0.5000 0.0000
0.0000 0.0000 0.5000
0.5000 0.5000 0.5000
0.2500 0.3750 0.6250
0.1250 0.7500 0.3750
0.0000 0.5000 0.0000
0.7500 0.1250 0.8750
0.8750 0.6250 0.7500
0.6250 0.8750 0.2500
0.0000 0.5000 0.5000
0.0000 0.0000 0.0000
0.6250 0.7500 0.8750
0.8750 0.1250 0.2500
0.3750 0.7500 0.6250
0.6250 0.3750 0.7500
0.3750 0.6250 0.2500
0.7500 0.3750 0.1250
0.2500 0.1250 0.3750
0.2500 0.6250 0.8750
0.1250 0.8750 0.7500
0.7500 0.8750 0.6250
0.1250 0.2500 0.8750
0.8750 0.7500 0.1250
0.6250 0.2500 0.3750
```

(6)
Material: TbDyH2
Method: DFT, PBE
State: optimized geometry

Output
SG: R3m, No. 160
Energy above the lowest structure with this stoichiometry in meV per atom: 80

Structure (POSCAR):
```
TbDyH2
1.0
3.5004 0.0000 0.0000
1.7502 3.0314 0.0000
1.7502 1.0105 5.8600
Tb H Dy
1 2 1
Direct
0.4913 0.4913 0.5261
0.2590 0.2590 0.2229
0.0785 0.0785 0.7644
0.6711 0.6711 0.9866
```

(7)
Material: TbDy2H
Method: DFT, PBE
State: optimized geometry

Output
SG: P4/mmm, No. 123
Energy above the lowest structure with this stoichiometry in meV per atom: 303

Structure (POSCAR):
```
TbDy2H
1.0
-0.8050 -1.8716 -2.6586
-1.8573 -1.9833 1.9586
-6.7379 4.9106 -1.4168
Dy Tb H
2 1 1
Direct
0.0000 0.0000 0.1917
0.0000 0.0000 0.8083
0.5000 0.5000 0.5000
0.5000 0.5000 0.0000
```

(8)
Material: TbDy3H
Method: DFT, PBE
State: optimized geometry

Output
SG: Pm-3m, No. 221

Structure (POSCAR):
```
TbDy3H
1.0
4.9853 0.0000 0.0000
0.0000 4.9853 0.0000
0.0000 0.0000 4.9853
Dy Tb H
3 1 1
Direct
0.0000 0.0000 0.5000
0.5000 0.0000 0.0000
0.0000 0.5000 0.0000
0.5000 0.5000 0.5000
0.0000 0.0000 0.0000
```

(9)
Material: Tb2Dy2H
Method: DFT, PBE
State: optimized geometry

Output
SG: P4/mmm, No. 123

Structure (POSCAR):
```
Tb2Dy2H
1.0
-1.2091 -4.7173 1.0799
4.5225 -0.7013 2.0000
-1.7396 1.4639 4.4470
Tb Dy H
2 2 1
Direct
0.5000 0.0000 0.0000
0.5000 0.5000 0.5000
0.0000 0.0000 0.5000
0.0000 0.5000 0.0000
0.0000 0.0000 0.0000
```

(10)
Material: TbDy2H8
Method: DFT, PBE
State: optimized geometry

Output
SG: Immm, No. 71

Structure (POSCAR):
```
TbDy2H8
1.0
3.4853 0.0000 -1.0607
-0.7654 4.4284 -2.5151
0.0085 0.5761 6.2843
Dy H Tb
2 8 1
Direct
0.1686 0.6686 0.3372
0.8314 0.3314 0.6628
0.1578 0.1578 0.3156
0.3382 0.0993 0.6765
0.6618 0.4229 0.3235
0.0000 0.2720 0.0000
0.0000 0.7280 0.0000
0.8422 0.8422 0.6844
0.6618 0.9007 0.3235
0.3382 0.5771 0.6765
0.5000 0.0000 0.0000
```

(11)
Material: Tb5Dy3H12
Method: DFT, PBE
State: optimized geometry

Output
SG: Ia-3d, No. 230

Structure (POSCAR):
```
Tb5Dy3H12
1.0
-10.2144 -4.3741 2.2898
7.8486 -8.1638 0.6795
2.3830 8.1707 7.5014
Tb H Dy
20 48 12
Direct
0.1250 0.3750 0.2500
0.5000 0.5000 0.0000
0.0000 0.5000 0.5000
0.0000 0.0000 0.0000
0.6250 0.7500 0.8750
0.5000 0.0000 0.5000
0.2500 0.8750 0.1250
0.0000 0.0000 0.5000
0.7500 0.1250 0.8750
0.1250 0.7500 0.3750
0.8750 0.6250 0.7500
0.2500 0.3750 0.6250
0.5000 0.5000 0.5000
0.5000 0.0000 0.0000
0.8750 0.2500 0.6250
0.3750 0.1250 0.7500
0.6250 0.8750 0.2500
0.0000 0.5000 0.0000
0.7500 0.6250 0.3750
0.3750 0.2500 0.1250
0.9307 0.0883 0.6550
0.0883 0.9307 0.1550
0.1576 0.0883 0.9333
0.7757 0.4333 0.3450
0.9333 0.5883 0.1576
0.7243 0.1550 0.0667
0.0693 0.9117 0.3450
0.5693 0.7243 0.6576
0.5667 0.2243 0.1550
0.3450 0.9333 0.7757
0.2243 0.6576 0.0693
0.8424 0.9117 0.0667
0.7243 0.5693 0.1576
0.9117 0.8424 0.5667
0.1550 0.4307 0.0883
0.2757 0.8450 0.9333
0.2243 0.5667 0.6550
0.4333 0.7757 0.8450
0.6576 0.4333 0.5883
0.1550 0.7243 0.5667
0.6550 0.0667 0.2243
0.5883 0.6550 0.4307
0.5693 0.8450 0.4117
0.8424 0.9307 0.2757
0.1576 0.0693 0.7243
0.4333 0.6576 0.0883
0.6550 0.5883 0.9307
0.5883 0.9333 0.6576
0.7757 0.3424 0.9307
0.9117 0.0693 0.8450
0.3424 0.7757 0.4307
0.4307 0.2757 0.3424
0.0667 0.6550 0.7243
0.9307 0.8424 0.7757
0.3424 0.5667 0.4117
0.4117 0.0667 0.3424
0.9333 0.3450 0.2757
0.0883 0.1576 0.4333
0.8450 0.5693 0.9117
0.2757 0.4307 0.8424
0.0667 0.4117 0.8424
0.4117 0.3450 0.5693
0.3450 0.4117 0.0693
0.4307 0.1550 0.5883
0.0693 0.1576 0.2243
0.6576 0.2243 0.5693
0.5667 0.3424 0.9117
0.8450 0.2757 0.4333
0.8750 0.1250 0.2500
0.6250 0.2500 0.3750
0.7500 0.3750 0.1250
0.1250 0.2500 0.8750
0.1250 0.8750 0.7500
0.3750 0.6250 0.2500
0.2500 0.1250 0.3750
0.2500 0.6250 0.8750
0.6250 0.3750 0.7500
0.8750 0.7500 0.1250
0.7500 0.8750 0.6250
0.3750 0.7500 0.6250
```

(12)
Material: TbDy2H
Method: DFT, PBE
State: optimized geometry

Output
SG: R-3m, No. 166
Energy above the lowest structure with this stoichiometry in meV per atom: 0

Structure (POSCAR):
```
TbDy2H
1.0
3.5918 0.0000 0.0000
1.7959 3.1106 0.0000
1.7959 1.0369 8.4790
H Dy Tb
1 2 1
Direct
0.0000 0.0000 0.0000
0.2792 0.2792 0.1624
0.7208 0.7208 0.8376
0.5000 0.5000 0.5000
```

(13)
Material: TbDy3H8
Method: DFT, PBE
State: optimized geometry

Output
SG: Pm-3m, No. 221

Structure (POSCAR):
```
TbDy3H8
1.0
-1.3034 -1.7469 4.7082
1.9935 -4.6445 -1.1713
4.6092 1.5148 1.8380
Dy H Tb
3 8 1
Direct
0.5000 0.0000 0.5000
0.0000 0.5000 0.5000
0.5000 0.5000 0.0000
0.7490 0.7490 0.7490
0.7490 0.7490 0.2510
0.2510 0.2510 0.7490
0.2510 0.7490 0.7490
0.7490 0.2510 0.7490
0.2510 0.7490 0.2510
0.7490 0.2510 0.2510
0.2510 0.2510 0.2510
0.0000 0.0000 0.0000
```

(14)
Material: TbDyH2
Method: DFT, PBE
State: optimized geometry

Output
SG: R-3m, No. 166
Energy above the lowest structure with this stoichiometry in meV per atom: 0

Structure (POSCAR):
```
TbDyH2
1.0
-0.9295 2.7117 1.9878
-3.3759 0.7415 0.4706
-1.5416 -2.2260 5.3766
Tb H Dy
1 2 1
Direct
0.5000 0.5000 0.5000
0.2508 0.2508 0.2476
0.7492 0.7492 0.7524
0.0000 0.0000 0.0000
```

(15)
Material: TbDyH4
Method: DFT, PBE
State: optimized geometry

Output
SG: I4_1/amd, No. 141

Structure (POSCAR):
```
TbDyH4
1.0
4.7310 0.0000 -2.1275
-0.9567 4.6333 -2.1275
0.0296 0.0364 6.3899
H Dy Tb
8 2 2
Direct
0.1270 0.1250 0.7500
0.3750 0.3770 0.2500
0.8750 0.8730 0.2500
0.6230 0.6250 0.7500
0.8750 0.3770 0.2500
0.3750 0.8730 0.2500
0.6230 0.1250 0.7500
0.1270 0.6250 0.7500
0.5000 0.5000 0.0000
0.2500 0.7500 0.5000
0.7500 0.2500 0.5000
0.0000 0.0000 0.0000
```

(16)
Material: Tb4Dy2Tl3H2
Method: DFT, PBE
State: optimized geometry

Output
SG: I4/mmm, No. 139

Structure (POSCAR):
```
Tb4Dy2Tl3H2
1.0
4.7495 0.0000 0.0000
0.0000 4.7495 0.0000
-2.3748 -2.3748 12.3007
H Tl Tb Dy
2 3 4 2
Direct
0.6030 0.6030 0.2060
0.3970 0.3970 0.7940
0.0000 0.0000 0.0000
0.1746 0.1746 0.3492
0.8254 0.8254 0.6508
0.0848 0.5848 0.1697
0.9152 0.4152 0.8303
0.5848 0.0848 0.1697
0.4152 0.9152 0.8303
0.6980 0.6980 0.3961
0.3020 0.3020 0.6039
```

(17)
Material: Dy2TcH
Method: DFT, PBE
State: optimized geometry

Output
SG: P4/mmm, No. 123
Energy above the lowest structure with this stoichiometry in meV per atom: 0

Structure (POSCAR):
```
Dy2TcH
1.0
3.3203 0.0000 0.0000
0.0000 3.3203 0.0000
0.0000 0.0000 6.9543
Dy H Tc
2 1 1
Direct
0.0000 0.0000 0.7587
0.0000 0.0000 0.2413
0.5000 0.5000 0.5000
0.5000 0.5000 0.0000
```

(18)
Material: Dy2TcH
Method: DFT, PBE
State: optimized geometry

Output
SG: R-3m, No. 166
Energy above the lowest structure with this stoichiometry in meV per atom: 445

Structure (POSCAR):
```
Dy2TcH
1.0
3.1882 0.0000 0.0000
1.5941 2.7610 0.0000
1.5941 0.9203 8.2970
Dy H Tc
2 1 1
Direct
0.1061 0.1061 0.6817
0.8939 0.8939 0.3183
0.5000 0.5000 0.5000
0.0000 0.0000 0.0000
```

Which electronic total energy belongs to each record? In order, -4.871, -4.778, -3.527, -5.715, -5.906, -4.277, -4.183, -4.524, -4.531, -4.324, -4.326, -4.486, -4.490, -4.357, -4.479, -4.053, -5.736, -5.291 eV/atom.